(1)
Material: PrMg2SnN
Method: DFT, PBE-GGA
State: relaxed

Structure (extended XYZ):
```
10
Lattice="3.849 0.000 0.000 -1.925 6.634 0.000 0.000 0.000 8.162" Properties=species:S:1:pos:R:3 pbc="T T T"
Sn 0.000 3.399 2.041
Sn 1.925 3.234 6.122
Mg 1.925 4.645 0.365
Mg 0.000 1.989 7.797
Mg 1.925 4.645 3.716
Mg 0.000 1.989 4.446
N 0.000 0.000 4.081
N 0.000 0.000 0.000
Pr 0.000 6.290 6.122
Pr 1.925 0.344 2.041
```

The uncorrected formation energy is -0.514 eV per atom. Its space-group type is Cmcm (63). For the spin magnetization, the calculation gives 0.000 μB/cell. The calculation puts the uncorrected energy at -4.57 eV per atom.

=====

(2)
Material: Na2Zn4SiGe3
Method: DFT, PBE-GGA
State: relaxed

Structure (extended XYZ):
```
10
Lattice="-3.776 -0.331 -1.649 0.868 -3.854 -1.214 -3.892 -3.933 9.702" Properties=species:S:1:pos:R:3 pbc="T T T"
Si -3.400 -4.059 3.420
Zn -4.386 -2.689 5.402
Zn -0.960 -3.336 2.869
Zn -1.454 -2.093 -1.431
Zn 0.000 0.000 0.000
Ge -5.241 -3.554 7.534
Ge -1.946 -1.966 4.851
Ge -0.105 -2.472 0.737
Na -2.841 -1.129 1.551
Na -2.505 -4.897 6.720
```

The uncorrected formation energy is -0.040 eV per atom. Its space-group type is P-4m2 (115). For the spin magnetization, the calculation gives 0.000 μB/cell. The calculation puts the uncorrected energy at -2.74 eV per atom.

=====

(3)
Material: MgNbTeC2
Method: DFT, PBE-GGA
State: relaxed

Structure (extended XYZ):
```
5
Lattice="4.089 0.000 0.000 0.000 5.350 0.000 0.000 0.000 4.089" Properties=species:S:1:pos:R:3 pbc="T T T"
Mg 0.000 0.000 0.000
Nb 0.000 2.675 0.000
C 2.045 0.000 0.000
C 0.000 0.000 2.045
Te 2.045 2.675 2.045
```

The uncorrected formation energy is 2.214 eV per atom. Its space-group type is P4/mmm (123). For the spin magnetization, the calculation gives 0.000 μB/cell. The calculation puts the uncorrected energy at -4.44 eV per atom.

=====

(4)
Material: ZnCr5
Method: DFT, PBE-GGA
State: relaxed

Structure (extended XYZ):
```
6
Lattice="2.387 -4.135 0.000 2.387 4.135 0.000 0.000 0.000 4.006" Properties=species:S:1:pos:R:3 pbc="T T T"
Cr 1.194 2.067 2.003
Cr 2.387 0.000 2.003
Cr 1.194 -2.067 2.003
Cr 2.387 -1.378 0.000
Cr 2.387 1.378 0.000
Zn 0.000 0.000 0.000
```

The energy of formation from the pure elements is 483 meV/atom. Its space-group type is P6/mmm (191). For the spin magnetization, the calculation gives 0.000 μB/cell. The calculation puts the uncorrected energy at -7.75 eV per atom.

=====

(5)
Material: TcAs2P
Method: DFT, PBE-GGA
State: relaxed

Structure (extended XYZ):
```
4
Lattice="-0.210 2.916 1.021 -5.534 -0.023 -1.071 -4.431 -1.431 3.178" Properties=species:S:1:pos:R:3 pbc="T T T"
As -9.420 -1.374 1.992
As -5.528 -0.806 1.168
P -2.596 1.095 1.037
Tc -7.578 0.368 2.091
```

The energy of formation from the pure elements is -24 meV/atom. Its space-group type is Cmmm (65). For the spin magnetization, the calculation gives 0.000 μB/cell. The calculation puts the uncorrected energy at -6.29 eV per atom.

=====

(6)
Material: ScSbN2F
Method: DFT, PBE-GGA
State: relaxed

Structure (extended XYZ):
```
5
Lattice="-3.575 2.005 -0.589 -0.734 -2.298 -3.366 -1.926 -2.758 2.303" Properties=species:S:1:pos:R:3 pbc="T T T"
Sb 0.000 0.000 0.000
F -0.963 -1.379 1.152
Sc -3.118 -1.525 -0.826
N -0.367 -1.149 -1.683
N -1.787 1.002 -0.294
```

The uncorrected formation energy is -0.175 eV per atom. Its space-group type is P4/mmm (123). For the spin magnetization, the calculation gives 0.418 μB/cell. The calculation puts the uncorrected energy at -5.97 eV per atom.

=====

(7)
Material: BiPd5Au8
Method: DFT, PBE-GGA
State: relaxed

Structure (extended XYZ):
```
14
Lattice="-6.080 0.302 3.450 -1.093 -0.221 -6.908 3.315 -5.772 2.158" Properties=species:S:1:pos:R:3 pbc="T T T"
Au -1.057 -2.286 0.193
Au -3.672 -1.814 1.467
Au -2.983 -1.457 -1.786
Au -1.781 -5.031 -2.577
Au 0.311 -2.894 -3.776
Au -1.359 -0.552 -4.418
Au -1.373 -5.217 1.494
Au -3.520 -3.512 4.201
Pd -1.383 -2.735 2.804
Pd 1.300 -5.481 2.500
Pd -0.185 -0.779 -1.903
Pd -5.631 -1.145 -2.841
Pd -3.200 -3.977 -0.356
Bi 0.420 -4.364 -0.973
```

The energy of formation from the pure elements is 48 meV/atom. Its space-group type is I-4 (82). For the spin magnetization, the calculation gives 0.000 μB/cell. The calculation puts the uncorrected energy at -3.96 eV per atom.

=====

(8)
Material: Mn2ZnCuRe
Method: DFT, PBE-GGA
State: relaxed

Structure (extended XYZ):
```
5
Lattice="4.581 0.000 0.000 0.000 4.768 0.000 0.000 0.000 4.581" Properties=species:S:1:pos:R:3 pbc="T T T"
Cu 0.000 2.384 0.000
Zn 2.290 2.384 2.290
Mn 0.000 0.000 2.290
Mn 2.290 0.000 0.000
Re 0.000 0.000 0.000
```

The energy of formation from the pure elements is 1297 meV/atom. Its space-group type is P4/mmm (123). For the spin magnetization, the calculation gives 5.551 μB/cell. The calculation puts the uncorrected energy at -5.93 eV per atom.

=====

(9)
Material: K2ZrBr8
Method: DFT, PBE-GGA
State: relaxed

Structure (extended XYZ):
```
11
Lattice="-3.467 2.679 -4.067 -2.852 -7.061 -4.928 -8.270 -1.271 3.504" Properties=species:S:1:pos:R:3 pbc="T T T"
Zr 0.000 0.000 0.000
Br -4.243 0.365 -2.977
Br -9.278 0.543 -0.996
Br -5.637 -3.347 -6.662
Br -6.517 -3.363 -1.878
Br -8.072 -2.290 -3.614
Br -10.346 -6.018 -2.515
Br -5.311 -6.196 -4.495
Br -8.951 -2.305 1.170
K -11.117 -3.620 -4.656
K -3.472 -2.032 -0.835
```

The uncorrected formation energy is -1.174 eV per atom. Its space-group type is C2/m (12). For the spin magnetization, the calculation gives 0.005 μB/cell. The calculation puts the uncorrected energy at -3.37 eV per atom.

=====

(10)
Material: Tm3Ag3IO8
Method: DFT, PBE-GGA
State: relaxed

Structure (extended XYZ):
```
15
Lattice="6.681 0.000 0.000 -3.341 6.135 0.726 0.000 -3.408 5.464" Properties=species:S:1:pos:R:3 pbc="T T T"
Ag -1.670 3.067 0.363
Ag 1.670 3.067 0.363
Ag 0.000 0.000 0.000
O 0.000 0.506 4.307
O 0.000 2.563 2.200
O 1.556 -0.557 1.860
O 3.341 0.164 3.990
O 5.125 -0.557 1.860
O -1.785 3.284 4.330
O 3.341 2.220 1.883
O 1.785 3.284 4.330
I 0.000 -1.704 2.732
Tm 1.670 1.363 3.095
Tm -1.670 1.363 3.095
Tm 3.341 -1.704 2.732
```

The uncorrected formation energy is -1.705 eV per atom. Its space-group type is C2/m (12). For the spin magnetization, the calculation gives 1.030 μB/cell. The calculation puts the uncorrected energy at -5.92 eV per atom.

=====

(11)
Material: Tl2CrRu
Method: DFT, PBE-GGA
State: relaxed

Structure (extended XYZ):
```
4
Lattice="8.898 -0.081 -0.048 8.333 3.123 -0.048 8.333 1.471 2.756" Properties=species:S:1:pos:R:3 pbc="T T T"
Tl 12.710 2.244 1.323
Tl 0.072 0.013 0.007
Cr 6.391 1.128 0.665
Ru 19.173 3.385 1.995
```

The energy of formation from the pure elements is 704 meV/atom. Its space-group type is R-3m (166). For the spin magnetization, the calculation gives 3.613 μB/cell. The calculation puts the uncorrected energy at -5.20 eV per atom.

=====

(12)
Material: CeMnSn2
Method: DFT, PBE-GGA
State: relaxed

Structure (extended XYZ):
```
8
Lattice="-4.888 6.870 3.997 2.892 -8.861 -0.425 3.812 1.112 2.751" Properties=species:S:1:pos:R:3 pbc="T T T"
Ce 1.010 1.558 4.332
Ce 0.805 -2.437 1.990
Sn -2.044 3.323 3.610
Sn 3.506 -7.899 0.455
Sn 3.859 -4.203 2.713
Sn -1.691 7.019 5.867
Mn 2.413 -5.688 1.077
Mn -0.598 4.808 5.246
```

The energy of formation from the pure elements is -212 meV/atom. Its space-group type is Cmcm (63). For the spin magnetization, the calculation gives 7.473 μB/cell. The calculation puts the uncorrected energy at -5.99 eV per atom.

=====

(13)
Material: Pm2UAlRh6
Method: DFT, PBE-GGA
State: relaxed

Structure (extended XYZ):
```
10
Lattice="6.506 1.225 -0.822 0.964 6.206 0.387 3.250 3.869 4.845" Properties=species:S:1:pos:R:3 pbc="T T T"
Rh 1.488 2.072 0.399
Rh 6.499 9.946 4.252
Rh 7.235 8.201 2.164
Rh 3.485 3.100 2.245
Rh 9.232 9.229 4.011
Rh 4.221 1.355 0.157
U 3.735 3.716 -0.218
Al 0.000 0.000 0.000
Pm 3.590 6.263 2.653
Pm 7.130 5.038 1.757
```

The energy of formation from the pure elements is -613 meV/atom. Its space-group type is P-1 (2). For the spin magnetization, the calculation gives 0.000 μB/cell. The calculation puts the uncorrected energy at -7.48 eV per atom.

=====

(14)
Material: NiSb2Ru
Method: DFT, PBE-GGA
State: relaxed

Structure (extended XYZ):
```
4
Lattice="3.312 -0.070 3.217 -1.123 0.200 4.474 0.534 -3.720 2.683" Properties=species:S:1:pos:R:3 pbc="T T T"
Ni 0.000 0.000 0.000
Sb 2.042 -2.692 7.781
Sb 0.681 -0.897 2.594
Ru 1.361 -1.795 5.187
```

The uncorrected formation energy is 0.162 eV per atom. Its space-group type is Fm-3m (225). For the spin magnetization, the calculation gives 0.000 μB/cell. The calculation puts the uncorrected energy at -5.66 eV per atom.

=====

(15)
Material: Tb2TlTe
Method: DFT, PBE-GGA
State: relaxed

Structure (extended XYZ):
```
4
Lattice="4.070 0.000 0.000 2.035 3.525 0.000 2.035 1.175 8.448" Properties=species:S:1:pos:R:3 pbc="T T T"
Tb 2.035 1.175 6.471
Tb 2.035 1.175 1.981
Tl 4.070 2.350 4.240
Te 6.105 3.525 8.426
```

The uncorrected formation energy is -0.742 eV per atom. Its space-group type is R3m (160). For the spin magnetization, the calculation gives 0.000 μB/cell. The calculation puts the uncorrected energy at -4.43 eV per atom.

=====

(16)
Material: FeRuPt2
Method: DFT, PBE-GGA
State: relaxed

Structure (extended XYZ):
```
4
Lattice="9.052 -0.003 -0.002 8.641 2.695 -0.002 8.641 1.315 2.353" Properties=species:S:1:pos:R:3 pbc="T T T"
Pt 0.151 0.023 0.014
Pt 6.515 0.992 0.581
Fe 19.811 3.015 1.767
Ru 13.025 1.982 1.162
```

The energy of formation from the pure elements is -48 meV/atom. Its space-group type is R3m (160). For the spin magnetization, the calculation gives 2.428 μB/cell. The calculation puts the uncorrected energy at -7.50 eV per atom.

=====

(17)
Material: Rb2HgPtO
Method: DFT, PBE-GGA
State: relaxed

Structure (extended XYZ):
```
5
Lattice="-0.251 -6.058 2.849 2.094 1.299 2.947 -5.611 1.745 3.217" Properties=species:S:1:pos:R:3 pbc="T T T"
O 1.047 0.649 1.473
Hg -1.884 -1.507 4.507
Rb -0.126 -3.029 1.424
Rb -2.806 0.873 1.609
Pt 0.000 0.000 0.000
```

The uncorrected formation energy is -0.387 eV per atom. Its space-group type is P4/mmm (123). For the spin magnetization, the calculation gives 0.000 μB/cell. The calculation puts the uncorrected energy at -3.03 eV per atom.

=====

(18)
Material: Ho3Er4Sc5
Method: DFT, PBE-GGA
State: relaxed

Structure (extended XYZ):
```
12
Lattice="5.649 0.000 0.000 2.824 7.296 -2.249 2.824 -0.606 8.555" Properties=species:S:1:pos:R:3 pbc="T T T"
Er 5.649 1.627 -0.020
Er 5.649 5.063 6.325
Er 8.473 6.800 1.094
Er 2.824 -0.110 5.211
Sc 2.824 3.345 0.101
Sc 8.473 6.259 4.756
Sc 2.824 0.431 1.550
Sc 5.649 3.345 3.153
Sc 8.473 3.345 6.205
Ho 2.824 3.345 3.153
Ho 5.649 1.777 5.796
Ho 5.649 4.913 0.510
```

The energy of formation from the pure elements is 249 meV/atom. Its space-group type is C2/m (12). For the spin magnetization, the calculation gives 0.750 μB/cell. The calculation puts the uncorrected energy at -5.05 eV per atom.

=====

(19)
Material: TlGa3As
Method: DFT, PBE-GGA
State: relaxed

Structure (extended XYZ):
```
5
Lattice="5.281 0.000 0.000 0.000 5.281 0.000 0.000 0.000 5.281" Properties=species:S:1:pos:R:3 pbc="T T T"
Ga 0.000 0.000 2.640
Ga 0.000 2.640 0.000
Ga 2.640 0.000 0.000
As 2.640 2.640 2.640
Tl 0.000 0.000 0.000
```

The energy of formation from the pure elements is 742 meV/atom. Its space-group type is Pm-3m (221). For the spin magnetization, the calculation gives 0.000 μB/cell. The calculation puts the uncorrected energy at -2.48 eV per atom.

=====

(20)
Material: Ge4PdAu2
Method: DFT, PBE-GGA
State: relaxed

Structure (extended XYZ):
```
7
Lattice="4.210 0.000 0.000 0.000 4.562 -1.377 0.000 -0.332 7.570" Properties=species:S:1:pos:R:3 pbc="T T T"
Au 2.105 3.478 3.473
Au 2.105 0.752 2.720
Ge 2.105 1.548 5.346
Ge 0.000 3.843 4.946
Ge 4.210 0.387 1.247
Ge 2.105 2.681 0.847
Pd 0.000 2.281 -0.689
```

The energy of formation from the pure elements is -70 meV/atom. Its space-group type is P2/m (10). For the spin magnetization, the calculation gives 0.000 μB/cell. The calculation puts the uncorrected energy at -4.39 eV per atom.